[1]
A plane-wave DFT calculation with PBE was carried out for TiFe2ReP after structural relaxation.

space group	P4/mmm (123)
DFT formation energy	5.35	eV/f.u.
total energy	-0.54866	Ry per atom

POSCAR file:
```
TiFe2ReP
1.0
4.4245 0.0000 0.0000
0.0000 4.4245 0.0000
0.0000 0.0000 4.4484
Ti Fe Re P
1 2 1 1
Direct
0.0000 0.0000 0.0000
0.0000 0.5000 0.5000
0.5000 0.0000 0.5000
0.5000 0.5000 0.5000
0.5000 0.5000 0.0000
```

[2]
A plane-wave DFT calculation with PBE was carried out for Co3Ni4Rh12 after structural relaxation.

space group	Im-3 (204)
DFT formation energy	12.87	eV/f.u.
total energy	-0.46340	Ry per atom

POSCAR file:
```
Co3Ni4Rh12
1.0
-4.4846 4.4846 4.4846
4.4846 -4.4846 4.4846
4.4846 4.4846 -4.4846
Co Ni Rh
3 4 12
Direct
0.0000 0.5000 0.5000
0.5000 0.0000 0.5000
0.5000 0.5000 0.0000
0.0000 0.0000 0.5000
0.0000 0.5000 0.0000
0.5000 0.0000 0.0000
0.5000 0.5000 0.5000
0.0939 0.3585 0.7354
0.2646 0.6230 0.3585
0.2646 0.9061 0.6415
0.3585 0.2646 0.6230
0.3585 0.7354 0.0939
0.3770 0.6415 0.7354
0.6230 0.3585 0.2646
0.6415 0.2646 0.9061
0.6415 0.7354 0.3770
0.7354 0.0939 0.3585
0.7354 0.3770 0.6415
0.9061 0.6415 0.2646
```

[3]
A plane-wave DFT calculation with PBE was carried out for TbSmMgOs after structural relaxation.

space group	F-43m (216)
DFT formation energy	-0.34	eV/f.u.
total energy	-0.41362	Ry per atom
energy above the most stable polymorph in this dataset	53	meV/atom

POSCAR file:
```
TbSmMgOs
1.0
7.1501 0.0000 0.0000
0.0000 7.1501 0.0000
0.0000 0.0000 7.1501
Tb Sm Mg Os
4 4 4 4
Direct
0.0000 0.0000 0.0000
0.0000 0.5000 0.5000
0.5000 0.0000 0.5000
0.5000 0.5000 0.0000
0.0000 0.0000 0.5000
0.0000 0.5000 0.0000
0.5000 0.0000 0.0000
0.5000 0.5000 0.5000
0.2500 0.2500 0.7500
0.2500 0.7500 0.2500
0.7500 0.2500 0.2500
0.7500 0.7500 0.7500
0.2500 0.2500 0.2500
0.2500 0.7500 0.7500
0.7500 0.2500 0.7500
0.7500 0.7500 0.2500
```

[4]
A plane-wave DFT calculation with PBE was carried out for Mg3ZrCd3 after structural relaxation.

space group	P2_13 (198)
DFT formation energy	0.17	eV/f.u.
total energy	-0.16700	Ry per atom

POSCAR file:
```
Mg3ZrCd3
1.0
8.5325 0.0000 0.0000
0.0000 8.5325 0.0000
0.0000 0.0000 8.5325
Mg Zr Cd
12 4 12
Direct
0.1265 0.3735 0.6265
0.1622 0.8378 0.3378
0.1917 0.1917 0.1917
0.3083 0.8083 0.6917
0.3378 0.1622 0.8378
0.3735 0.6265 0.1265
0.6265 0.1265 0.3735
0.6622 0.6622 0.6622
0.6917 0.3083 0.8083
0.8083 0.6917 0.3083
0.8378 0.3378 0.1622
0.8735 0.8735 0.8735
0.0500 0.5500 0.9500
0.4500 0.4500 0.4500
0.5500 0.9500 0.0500
0.9500 0.0500 0.5500
0.0010 0.1933 0.8883
0.1117 0.5010 0.3067
0.1933 0.8883 0.0010
0.3067 0.1117 0.5010
0.3883 0.4990 0.8067
0.4990 0.8067 0.3883
0.5010 0.3067 0.1117
0.6117 0.9990 0.6933
0.6933 0.6117 0.9990
0.8067 0.3883 0.4990
0.8883 0.0010 0.1933
0.9990 0.6933 0.6117
```

[5]
A plane-wave DFT calculation with PBE was carried out for LiReW after structural relaxation.

space group	I4mm (107)
DFT formation energy	1.10	eV/f.u.
total energy	-0.64214	Ry per atom
energy above the most stable polymorph in this dataset	212	meV/atom

POSCAR file:
```
LiReW
1.0
3.2488 0.0000 0.0000
0.0000 3.2488 0.0000
0.0000 0.0000 8.1719
Li Re W
2 2 2
Direct
0.0000 0.0000 0.0000
0.5000 0.5000 0.5000
0.0000 0.0000 0.6661
0.5000 0.5000 0.1661
0.0000 0.0000 0.3265
0.5000 0.5000 0.8265
```

[6]
A plane-wave DFT calculation with PBE was carried out for LiAsPbS4 after structural relaxation.

space group	Imma (74)
formation energy without anion corrections	-305	meV/atom
total energy	-0.30362	Ry per atom

POSCAR file:
```
LiAsPbS4
1.0
-3.9261 3.9934 5.2793
3.9261 -3.9934 5.2793
3.9261 3.9934 -5.2793
Li As Pb S
2 2 2 8
Direct
0.0000 0.0000 0.0000
0.5000 0.0000 0.5000
0.3851 0.6351 0.7500
0.6149 0.3649 0.2500
0.0000 0.0000 0.5000
0.0000 0.5000 0.0000
0.2552 0.2429 0.0123
0.2694 0.7571 0.5123
0.2725 0.2856 0.5131
0.2725 0.7595 0.9869
0.7275 0.2405 0.0131
0.7275 0.7144 0.4869
0.7306 0.2429 0.4877
0.7448 0.7571 0.9877
```

[7]
A plane-wave DFT calculation with PBE was carried out for VTe3S after structural relaxation.

space group	Pm-3m (221)
formation energy without anion corrections	713	meV/atom
total energy	-0.28088	Ry per atom
energy above the most stable polymorph in this dataset	303	meV/atom

POSCAR file:
```
VTe3S
1.0
5.2041 0.0000 0.0000
0.0000 5.2041 0.0000
0.0000 0.0000 5.2041
V Te S
1 3 1
Direct
0.0000 0.0000 0.0000
0.0000 0.5000 0.5000
0.5000 0.0000 0.5000
0.5000 0.5000 0.0000
0.5000 0.5000 0.5000
```

[8]
A plane-wave DFT calculation with PBE was carried out for YCu2Au after structural relaxation.

space group	P4/mmm (123)
DFT formation energy	-0.93	eV/f.u.
total energy	-0.34663	Ry per atom
energy above the most stable polymorph in this dataset	129	meV/atom

POSCAR file:
```
YCu2Au
1.0
3.4160 0.0000 0.0000
0.0000 3.4160 0.0000
0.0000 0.0000 6.1463
Y Cu Au
1 2 1
Direct
0.0000 0.0000 0.0000
0.5000 0.5000 0.2892
0.5000 0.5000 0.7108
0.0000 0.0000 0.5000
```